1.
A relaxed TbYHo4 crystal. Source: Alexandria via LeMat-Bulk, functional GGA-PBE.

For the energy relative to the elements, the calculation gives 0.019 eV per atom. The calculation puts the total energy at -4.8816 eV per atom. For the magnetic moment, the calculation gives 0.000 μB/cell. The value obtained for the energy above the most stable polymorph in this dataset is 0.0 meV/atom.

CIF file:
```
data_TbYHo4
_cell_length_a 3.543
_cell_length_b 4.998
_cell_length_c 10.607
_cell_angle_alpha 90.00
_cell_angle_beta 90.00
_cell_angle_gamma 90.00
_symmetry_space_group_name_H-M 'P 1'
_symmetry_Int_Tables_number 1
loop_
_symmetry_equiv_pos_as_xyz
'x,y,z'
loop_
_atom_site_label
_atom_site_type_symbol
_atom_site_fract_x
_atom_site_fract_y
_atom_site_fract_z
_atom_site_occupancy
Tb1 Tb 0.000 0.000 0.000 1
Y1 Y 0.500 0.500 0.500 1
Ho1 Ho 0.000 0.000 0.332 1
Ho2 Ho 0.000 0.000 0.668 1
Ho3 Ho 0.500 0.500 0.167 1
Ho4 Ho 0.500 0.500 0.833 1
```



2.
A relaxed MnCrFe2 crystal. Source: Alexandria via LeMat-Bulk, functional GGA-PBE.

For the energy relative to the elements, the calculation gives 0.085 eV per atom. The calculation puts the total energy at -8.8442 eV per atom. For the magnetic moment, the calculation gives 0.358 μB/cell.

CIF file:
```
data_MnCrFe2
_cell_length_a 4.318
_cell_length_b 4.318
_cell_length_c 4.318
_cell_angle_alpha 131.38
_cell_angle_beta 131.38
_cell_angle_gamma 71.21
_symmetry_space_group_name_H-M 'P 1'
_symmetry_Int_Tables_number 1
loop_
_symmetry_equiv_pos_as_xyz
'x,y,z'
loop_
_atom_site_label
_atom_site_type_symbol
_atom_site_fract_x
_atom_site_fract_y
_atom_site_fract_z
_atom_site_occupancy
Mn1 Mn 0.000 0.000 0.000 1
Cr1 Cr 0.250 0.750 0.500 1
Fe1 Fe 0.500 0.500 0.000 1
Fe2 Fe 0.750 0.250 0.500 1
```



3.
A relaxed Mg2Al2Zn crystal. Source: Alexandria via LeMat-Bulk, functional GGA-PBE.

For the energy relative to the elements, the calculation gives 0.210 eV per atom. The calculation puts the total energy at -2.1800 eV per atom. For the magnetic moment, the calculation gives 0.000 μB/cell. The value obtained for the energy above the most stable polymorph in this dataset is 187.4 meV/atom.

CIF file:
```
data_Mg2Al2Zn
_cell_length_a 8.562
_cell_length_b 8.562
_cell_length_c 2.820
_cell_angle_alpha 90.00
_cell_angle_beta 90.00
_cell_angle_gamma 90.00
_symmetry_space_group_name_H-M 'P 1'
_symmetry_Int_Tables_number 1
loop_
_symmetry_equiv_pos_as_xyz
'x,y,z'
loop_
_atom_site_label
_atom_site_type_symbol
_atom_site_fract_x
_atom_site_fract_y
_atom_site_fract_z
_atom_site_occupancy
Mg1 Mg 0.127 0.373 0.000 1
Mg2 Mg 0.373 0.873 0.000 1
Mg3 Mg 0.627 0.127 0.000 1
Mg4 Mg 0.873 0.627 0.000 1
Al1 Al 0.171 0.671 0.500 1
Al2 Al 0.329 0.171 0.500 1
Al3 Al 0.671 0.829 0.500 1
Al4 Al 0.829 0.329 0.500 1
Zn1 Zn 0.000 0.000 0.000 1
Zn2 Zn 0.500 0.500 0.000 1
```



4.
A relaxed DyTm2Sc2Al2 crystal. Source: Alexandria via LeMat-Bulk, functional GGA-PBE.

For the energy relative to the elements, the calculation gives -0.191 eV per atom. The calculation puts the total energy at -5.0043 eV per atom. For the magnetic moment, the calculation gives 0.000 μB/cell.

CIF file:
```
data_DyTm2Sc2Al2
_cell_length_a 8.411
_cell_length_b 8.411
_cell_length_c 8.411
_cell_angle_alpha 34.79
_cell_angle_beta 34.79
_cell_angle_gamma 34.79
_symmetry_space_group_name_H-M 'P 1'
_symmetry_Int_Tables_number 1
loop_
_symmetry_equiv_pos_as_xyz
'x,y,z'
loop_
_atom_site_label
_atom_site_type_symbol
_atom_site_fract_x
_atom_site_fract_y
_atom_site_fract_z
_atom_site_occupancy
Dy1 Dy 0.000 0.000 0.000 1
Tm1 Tm 0.136 0.136 0.136 1
Tm2 Tm 0.864 0.864 0.864 1
Sc1 Sc 0.403 0.403 0.403 1
Sc2 Sc 0.597 0.597 0.597 1
Al1 Al 0.268 0.268 0.268 1
Al2 Al 0.732 0.732 0.732 1
```